Material: SrIrPb2O6
Method: DFT, PBE
State: optimized geometry

The calculation puts the volume at 304.3 Å³ per cell. As for the crystal system: monoclinic. Its calculated density is 8.626 g/cm³. The value obtained for the density of states at the Fermi level is 10.804 states/eV per cell. The uncorrected formation energy is -128.9 kJ per mole of atoms.

The structure belongs to space group P2_1/c (No. 14); the cell edges are 5.738, 6.271 and 10.175 Å and the angles 90.00°, 123.80° and 90.00°. The asymmetric unit holds Sr at (0.000, 0.000, 0.000), Ir at (0.500, 0.000, 0.500), Pb at (0.219, 0.039, 0.725), O at (0.181, 0.161, 0.475), O at (0.245, 0.747, 0.915) and O at (0.393, 0.082, 0.286).


Material: Sr2IrPbO8
Method: DFT, PBE
State: optimized geometry

The calculation puts the volume at 195.4 Å³ per cell. As for the crystal system: monoclinic. Its calculated density is 5.973 g/cm³. The value obtained for the density of states at the Fermi level is 1.927 states/eV per cell. The uncorrected formation energy is -126.6 kJ per mole of atoms.

The structure belongs to space group P2/m (No. 10); the cell edges are 5.278, 7.010 and 5.286 Å and the angles 90.00°, 92.51° and 90.00°. The asymmetric unit holds Sr at (0.000, 0.246, 0.000), Ir at (0.500, 0.000, 0.500), Pb at (0.500, 0.500, 0.500), O at (0.223, 0.500, 0.223), O at (0.247, 0.000, 0.247) and O at (0.330, 0.202, 0.670).


Material: SrIrPb2O8
Method: DFT, PBE
State: optimized geometry

The calculation puts the volume at 176.5 Å³ per cell. As for the crystal system: monoclinic. Its calculated density is 7.734 g/cm³. The value obtained for the density of states at the Fermi level is 4.983 states/eV per cell. The uncorrected formation energy is -100.1 kJ per mole of atoms.

The structure belongs to space group P2/m (No. 10); the cell edges are 5.008, 6.913 and 5.100 Å and the angles 90.00°, 91.02° and 90.00°. The asymmetric unit holds Sr at (0.000, 0.000, 0.000), Ir at (0.000, 0.500, 0.000), Pb at (0.500, 0.252, 0.500), O at (0.216, 0.300, 0.158), O at (0.247, 0.500, 0.693) and O at (0.278, 0.000, 0.632).


Material: Sr2IrPbO6
Method: DFT, PBE
State: optimized geometry

The calculation puts the volume at 303.8 Å³ per cell. As for the crystal system: monoclinic. Its calculated density is 7.332 g/cm³. The value obtained for the density of states at the Fermi level is 8.046 states/eV per cell. The uncorrected formation energy is -162.1 kJ per mole of atoms.

The structure belongs to space group P2_1/c (No. 14); the cell edges are 5.857, 6.165 and 10.228 Å and the angles 90.00°, 124.66° and 90.00°. The asymmetric unit holds Sr at (0.236, 0.057, 0.253), Ir at (0.000, 0.000, 0.500), Pb at (0.500, 0.000, 0.000), O at (0.097, 0.235, 0.932), O at (0.226, 0.674, 0.952) and O at (0.327, 0.051, 0.718).


Material: Tb2IrPbO8
Method: DFT, PBE
State: optimized geometry

The calculation puts the volume at 345.8 Å³ per cell. As for the crystal system: orthorhombic. Its calculated density is 8.117 g/cm³. The value obtained for the density of states at the Fermi level is 8.030 states/eV per cell. The uncorrected formation energy is -180.8 kJ per mole of atoms.

The structure belongs to space group Cmmm (No. 65); the cell edges are 7.025, 7.183 and 6.854 Å and the angles 90.00°, 90.00° and 90.00°. The asymmetric unit holds Tb at (0.000, 0.000, 0.249), Ir at (0.000, 0.500, 0.000), Pb at (0.000, 0.500, 0.500), O at (0.000, 0.319, 0.216), O at (0.194, 0.000, 0.500) and O at (0.230, 0.000, 0.000).


Material: Tc2IrPbO8
Method: DFT, PBE
State: optimized geometry

The calculation puts the volume at 645.0 Å³ per cell. As for the crystal system: trigonal. Its calculated density is 5.587 g/cm³. The value obtained for the density of states at the Fermi level is 29.882 states/eV per cell. The uncorrected formation energy is -84.8 kJ per mole of atoms.

The structure belongs to space group R32 (No. 155, hexagonal axes); the cell edges are 5.4527, 5.4527 and 25.0502 Å and the angles 90.00°, 90.00° and 120.00°. The asymmetric unit holds Tc at (0.0000, 0.0000, 0.2449), Ir at (0.0000, 0.0000, 0.5000), Pb at (0.0000, 0.0000, 0.0000), O at (0.0000, 0.0000, 0.3160) and O at (0.0147, 0.4550, 0.1148).


Material: TcIrPbO6
Method: DFT, PBE
State: optimized geometry

The calculation puts the volume at 529.3 Å³ per cell. As for the crystal system: orthorhombic. Its calculated density is 7.447 g/cm³. The value obtained for the density of states at the Fermi level is 22.573 states/eV per cell. The uncorrected formation energy is -95.3 kJ per mole of atoms.

The structure belongs to space group Imma (No. 74); the cell edges are 7.055, 7.271 and 10.318 Å and the angles 90.00°, 90.00° and 90.00°. The asymmetric unit holds Tc at (0.000, 0.000, 0.000), Ir at (0.250, 0.250, 0.250), Pb at (0.000, 0.250, 0.555), O at (0.000, 0.250, 0.332), O at (0.000, 0.250, 0.944) and O at (0.199, 0.054, 0.122).


Material: Te2IrPbO8
Method: DFT, PBE
State: optimized geometry

The calculation puts the volume at 191.0 Å³ per cell. As for the crystal system: triclinic. Its calculated density is 6.804 g/cm³. The value obtained for the density of states at the Fermi level is 3.037 states/eV per cell. The uncorrected formation energy is -83.2 kJ per mole of atoms.

The structure belongs to space group P-1 (No. 2); the cell edges are 4.895, 5.662 and 6.972 Å and the angles 98.06°, 92.47° and 91.94°. The asymmetric unit holds Te at (0.015, 0.409, 0.242), Ir at (0.500, 0.000, 0.000), Pb at (0.500, 0.000, 0.500), O at (0.201, 0.336, 0.469), O at (0.236, 0.872, 0.773), O at (0.264, 0.285, 0.051) and O at (0.318, 0.845, 0.179).


Question: Among the records above, which one has the highest volume?
Answer: Tc2IrPbO8